Material: AcSnHRh
Method: DFT, PBE
State: optimized geometry

a b c (Å): 4.8628 4.8608 3.8602
angles (deg): 90.00 90.00 120.02
Fractional positions:
Ac 0.5718 0.1436 0.3098
Sn 0.9052 0.8105 0.8097
H 0.2386 0.4773 0.3101
Rh 0.2387 0.4774 0.8095

Space group = No. 187
Total magnetization = 0.00 μB per atom
Calculated total energy = -5.35 eV per atom
Density of states at the Fermi level = 0.64 states/eV/atom